## w
A relaxed VS2O8 crystal, computed with PBE with a Hubbard U.

a = 4.6234 Å, b = 6.1241 Å, c = 6.1241 Å
α = 75.96°, β = 83.44°, γ = 83.44°
Fractional coordinates of all 11 atoms:
O  0.2738  0.3405  0.3405
O  0.7800  0.7287  0.0386
O  0.7262  0.6595  0.6595
O  0.2200  0.9614  0.2713
O  0.7800  0.0386  0.7287
V  0.0000  0.0000  0.0000
O  0.6739  0.1501  0.1501
S  0.6549  0.8076  0.8076
S  0.3451  0.1924  0.1924
O  0.3261  0.8499  0.8499
O  0.2200  0.2713  0.9614

## Properties
- N(E_F) (states/eV/atom) = 0.0000
- space-group type = C2/m (12)
- calculated volume (Å³ per atom) = 15.13

---

## x
A relaxed VS2O8 crystal, computed with PBE with a Hubbard U.

a = 8.9372 Å, b = 8.9372 Å, c = 8.9372 Å
α = 55.99°, β = 55.99°, γ = 55.99°
Fractional coordinates of all 33 atoms:
O  0.0619  0.7079  0.6289
O  0.3885  0.6050  0.7712
V  0.6440  0.6440  0.6440
O  0.3688  0.4438  0.0975
S  0.7437  0.4586  0.0496
O  0.0682  0.6612  0.0293
S  0.2579  0.5275  0.9684
O  0.6050  0.7712  0.3885
O  0.7195  0.4877  0.8834
O  0.6289  0.0619  0.7079
O  0.7712  0.3885  0.6050
O  0.3037  0.0470  0.9389
S  0.5275  0.9684  0.2579
S  0.0496  0.7437  0.4586
O  0.4877  0.8834  0.7195
O  0.2572  0.3527  0.9765
O  0.9765  0.2572  0.3527
O  0.3556  0.2367  0.6043
V  0.3530  0.3530  0.3530
S  0.9684  0.2579  0.5275
O  0.6043  0.3556  0.2367
V  0.1497  0.1497  0.1497
O  0.0293  0.0682  0.6612
O  0.6612  0.0293  0.0682
O  0.3527  0.9765  0.2572
O  0.8834  0.7195  0.4877
O  0.4438  0.0975  0.3688
O  0.9389  0.3037  0.0470
S  0.4586  0.0496  0.7437
O  0.7079  0.6289  0.0619
O  0.0470  0.9389  0.3037
O  0.0975  0.3688  0.4438
O  0.2367  0.6043  0.3556

## Properties
- space-group type = R3 (146)
- calculated volume (Å³ per atom) = 13.87

---

What is the stability order? It is x, w, from most stable to least stable.